Density functional theory data (PBE-GGA) for crystalline Hg2TeBr2 at its relaxed geometry.

The calculation puts the energy above the most stable polymorph in this dataset at 378 meV per atom. The magnetization is 0.000 μB per cell. As for the symmetry: P4/mbm. The value obtained for the formation energy from raw total energies is 12.1 meV/atom.

Cell: 8.4027 8.4027 4.0962 Å, 90.00 90.00 90.00°
With the nearest neighbours (Å) after each atom.
Element x y z (fractional)
1 Hg 0.1867 0.3133 0.0000  2 Br 2.95, 2 Te 3.06
2 Hg 0.3133 0.8133 0.0000  2 Br 2.95, 2 Te 3.06
3 Hg 0.6867 0.1867 0.0000  2 Br 2.95, 2 Te 3.06
4 Hg 0.8133 0.6867 0.0000  2 Br 2.95, 2 Te 3.06
5 Te 0.0000 0.0000 0.0000  4 Hg 3.06
6 Te 0.5000 0.5000 0.0000  4 Hg 3.06
7 Br 0.1346 0.6346 0.5000  2 Hg 2.95, 1 Br 3.20
8 Br 0.3654 0.1346 0.5000  2 Hg 2.95, 1 Br 3.20
9 Br 0.6346 0.8654 0.5000  2 Hg 2.95, 1 Br 3.20
10 Br 0.8654 0.3654 0.5000  2 Hg 2.95, 1 Br 3.20